Entry 1:
Compound: Ba3La2TmTe6
Source: Alexandria
Functional: PBE-GGA
Structure: relaxed

Summary:
Energy ... -4.84 eV per atom
N(E_F) ... 0.493 states/eV per atom
SG ... C2/m
E_form (uncorrected) ... -1.5915 eV per atom

Lattice parameters (Å, degrees): 8.0950 8.0950 8.3184 99.36 99.36 119.94
Last column: nearest neighbours and their distance in Å.
Element x y z (fractional)
Ba: 0.0000 0.0000 0.0000  6 Te 3.44-3.55
Ba: 0.3286 0.6714 0.0000  6 Te 3.44-3.52
Ba: 0.6714 0.3286 0.0000  6 Te 3.44-3.52
La: 0.1652 0.8348 0.5000  6 Te 3.26
La: 0.8348 0.1652 0.5000  6 Te 3.26
Tm: 0.5000 0.5000 0.5000  6 Te 3.12-3.14
Te: 0.1067 0.4271 0.2797  1 Tm 3.12, 2 La 3.26, 2 Ba 3.44
Te: 0.2558 0.2558 0.7251  1 Tm 3.14, 2 La 3.26, 2 Ba 3.46
Te: 0.4271 0.1067 0.2797  1 Tm 3.12, 2 La 3.26, 2 Ba 3.44
Te: 0.5729 0.8933 0.7203  1 Tm 3.12, 2 La 3.26, 2 Ba 3.44
Te: 0.7442 0.7442 0.2749  1 Tm 3.14, 2 La 3.26, 2 Ba 3.46
Te: 0.8933 0.5729 0.7203  1 Tm 3.12, 2 La 3.26, 2 Ba 3.44


Entry 2:
Compound: Ba4La3YTe8
Source: Alexandria
Functional: PBE-GGA
Structure: relaxed

Summary:
Energy ... -5.00 eV per atom
N(E_F) ... 0.465 states/eV per atom
SG ... R-3m
E_form (uncorrected) ... -1.6255 eV per atom

Lattice parameters (Å, degrees): 9.5840 9.5840 9.5840 58.65 58.65 58.65
Last column: nearest neighbours and their distance in Å.
Element x y z (fractional)
Ba: 0.0000 0.0000 0.0000  6 Te 3.53
Ba: 0.0000 0.5000 0.5000  6 Te 3.46
Ba: 0.5000 0.0000 0.5000  6 Te 3.46
Ba: 0.5000 0.5000 0.0000  6 Te 3.46
La: 0.0000 0.0000 0.5000  6 Te 3.26
La: 0.0000 0.5000 0.0000  6 Te 3.26
La: 0.5000 0.0000 0.0000  6 Te 3.26
Y: 0.5000 0.5000 0.5000  6 Te 3.18
Te: 0.2429 0.2429 0.2429  3 La 3.26, 3 Ba 3.46
Te: 0.2494 0.7371 0.7371  1 Y 3.18, 2 La 3.26, 3 Ba 3.46-3.53
Te: 0.2629 0.2629 0.7506  1 Y 3.18, 2 La 3.26, 3 Ba 3.46-3.53
Te: 0.2629 0.7506 0.2629  1 Y 3.18, 2 La 3.26, 3 Ba 3.46-3.53
Te: 0.7371 0.2494 0.7371  1 Y 3.18, 2 La 3.26, 3 Ba 3.46-3.53
Te: 0.7371 0.7371 0.2494  1 Y 3.18, 2 La 3.26, 3 Ba 3.46-3.53
Te: 0.7506 0.2629 0.2629  1 Y 3.18, 2 La 3.26, 3 Ba 3.46-3.53
Te: 0.7571 0.7571 0.7571  3 La 3.26, 3 Ba 3.46


Entry 3:
Compound: BaLaTh
Source: Alexandria
Functional: PBE-GGA
Structure: relaxed

Summary:
Energy ... -4.57 eV per atom
N(E_F) ... 1.546 states/eV per atom
SG ... I4mm
Formation energy from the elements ... 0.19 eV per atom

Lattice parameters (Å, degrees): 9.1998 9.1998 9.1998 156.77 156.77 33.09
Last column: nearest neighbours and their distance in Å.
Element x y z (fractional)
Ba: 0.0000 0.0000 0.0000  4 Ba 3.70, 4 Th 4.01
La: 0.3076 0.3076 0.0000  4 Th 3.55, 4 La 3.70
Th: 0.6720 0.6720 0.0000  4 La 3.55, 4 Th 3.70


Entry 4:
Compound: BaLaTi3
Source: Alexandria
Functional: PBE-GGA
Structure: relaxed

Summary:
Energy ... -5.01 eV per atom
N(E_F) ... 1.476 states/eV per atom
SG ... Pm-3m
Formation energy from the elements ... 1.10 eV per atom

Lattice parameters (Å, degrees): 5.1665 5.1665 5.1665 90.00 90.00 90.00
Last column: nearest neighbours and their distance in Å.
Element x y z (fractional)
Ba: 0.0000 0.0000 0.0000  12 Ti 3.65
La: 0.5000 0.5000 0.5000  6 Ti 2.58
Ti: 0.0000 0.5000 0.5000  2 La 2.58
Ti: 0.5000 0.0000 0.5000  2 La 2.58
Ti: 0.5000 0.5000 0.0000  2 La 2.58


Entry 5:
Compound: Ba2LaTiW
Source: Alexandria
Functional: PBE-GGA
Structure: relaxed

Summary:
Energy ... -4.89 eV per atom
N(E_F) ... 1.765 states/eV per atom
SG ... P4/mmm
Formation energy from the elements ... 1.04 eV per atom

Lattice parameters (Å, degrees): 6.1723 6.1723 4.8422 90.00 90.00 90.00
Last column: nearest neighbours and their distance in Å.
Element x y z (fractional)
Ba: 0.0000 0.5000 0.0000  2 W 3.09
Ba: 0.5000 0.0000 0.0000  2 W 3.09
La: 0.0000 0.0000 0.5000  8 Ba 3.92, 4 Ti 4.36
Ti: 0.5000 0.5000 0.5000  2 W 2.42
W: 0.5000 0.5000 0.0000  2 Ti 2.42


Entry 6:
Compound: BaLaTl
Source: Alexandria
Functional: PBE-GGA
Structure: relaxed

Summary:
Energy ... -3.28 eV per atom
N(E_F) ... 1.066 states/eV per atom
SG ... Cm
Formation energy from the elements ... -0.21 eV per atom

Lattice parameters (Å, degrees): 6.9296 6.9296 9.0397 91.04 91.04 34.25
Last column: nearest neighbours and their distance in Å.
Element x y z (fractional)
Ba: 0.0000 0.0000 0.0000  4 Tl 3.63-3.80
Ba: 0.2467 0.2467 0.7354  4 Tl 3.65-3.69, 1 La 3.93, 3 Ba 4.08-4.09
La: 0.3278 0.3278 0.3196  4 Tl 3.34-3.53, 1 La 3.61
La: 0.5967 0.5967 0.3900  3 Tl 3.32-3.38, 1 La 3.61
Tl: 0.7227 0.7227 0.0680  3 La 3.34-3.38, 5 Ba 3.63-3.74
Tl: 0.9525 0.9525 0.5841  4 La 3.32-3.53, 2 Ba 3.69


Entry 7:
Compound: Ba2LaTl
Source: Alexandria
Functional: PBE-GGA
Structure: relaxed

Summary:
Energy ... -2.84 eV per atom
N(E_F) ... 1.091 states/eV per atom
SG ... P4/mmm
Formation energy from the elements ... -0.06 eV per atom

Lattice parameters (Å, degrees): 5.3222 5.3222 5.6764 90.00 90.00 90.00
Last column: nearest neighbours and their distance in Å.
Element x y z (fractional)
Ba: 0.0000 0.5000 0.0000  4 Ba 3.76, 4 Tl 3.89, 4 La 3.89
Ba: 0.5000 0.0000 0.0000  4 Ba 3.76, 4 Tl 3.89, 4 La 3.89
La: 0.0000 0.0000 0.5000  4 Tl 3.76, 8 Ba 3.89
Tl: 0.5000 0.5000 0.5000  4 La 3.76, 8 Ba 3.89


Entry 8:
Compound: BaLaTl2
Source: Alexandria
Functional: PBE-GGA
Structure: relaxed

Summary:
Energy ... -2.90 eV per atom
N(E_F) ... 1.566 states/eV per atom
SG ... F-43m
Formation energy from the elements ... 0.00 eV per atom

Lattice parameters (Å, degrees): 5.8136 5.8136 5.8136 60.00 60.00 60.00
Last column: nearest neighbours and their distance in Å.
Element x y z (fractional)
Ba: 0.0000 0.0000 0.0000  4 La 3.56, 4 Tl 3.56
La: 0.7500 0.7500 0.7500  4 Ba 3.56, 4 Tl 3.56
Tl: 0.2500 0.2500 0.2500  4 Tl 3.56, 4 Ba 3.56
Tl: 0.5000 0.5000 0.5000  4 Tl 3.56, 4 La 3.56